(1)
In2CoCl | PBE | relaxed

Structure (CIF):
```
data_In2CoCl
_chemical_formula_sum 'In6 Co3 Cl3'
_space_group_name_H-M_alt 'R 3 m'
_space_group_IT_number 160
_space_group_name_Hall 'R 3 -2"'
_cell_length_a 3.3089
_cell_length_b 3.3089
_cell_length_c 29.0542
_cell_angle_alpha 90.00
_cell_angle_beta 90.00
_cell_angle_gamma 120.00
loop_
_atom_site_label
_atom_site_type_symbol
_atom_site_fract_x
_atom_site_fract_y
_atom_site_fract_z
In1 In 0.0000 0.0000 0.0000
In2 In 0.0000 0.0000 0.2404
Co1 Co 0.0000 0.0000 0.5040
Cl1 Cl 0.0000 0.0000 0.7925
```

Formation energy from raw total energies = -0.056 eV/atom
Total DFT energy (no corrections) = -3.663 eV per atom


(2)
In2CoCl | PBE | relaxed

Structure (CIF):
```
data_In2CoCl
_chemical_formula_sum 'In8 Co4 Cl4'
_space_group_name_H-M_alt 'I -4 2 d'
_space_group_IT_number 122
_space_group_name_Hall 'I -4 2bw'
_cell_length_a 7.089
_cell_length_b 7.089
_cell_length_c 7.882
_cell_angle_alpha 90.00
_cell_angle_beta 90.00
_cell_angle_gamma 90.00
loop_
_atom_site_label
_atom_site_type_symbol
_atom_site_fract_x
_atom_site_fract_y
_atom_site_fract_z
In1 In 0.207 0.250 0.125
Co1 Co 0.000 0.000 0.000
Cl1 Cl 0.000 0.000 0.500
```

Formation energy from raw total energies = 0.210 eV/atom
Total DFT energy (no corrections) = -3.398 eV per atom


(3)
InCoCl2 | PBE | relaxed

Structure (CIF):
```
data_InCoCl2
_chemical_formula_sum 'In1 Co1 Cl2'
_space_group_name_H-M_alt 'P 4 m m'
_space_group_IT_number 99
_cell_length_a 3.213
_cell_length_b 3.213
_cell_length_c 8.407
_cell_angle_alpha 90.00
_cell_angle_beta 90.00
_cell_angle_gamma 90.00
loop_
_space_group_symop_operation_xyz
'x,y,z'
'-y,x,z'
'-x,-y,z'
'y,-x,z'
'-x,y,z'
'y,x,z'
'x,-y,z'
'-y,-x,z'
loop_
_atom_site_label
_atom_site_type_symbol
_atom_site_fract_x
_atom_site_fract_y
_atom_site_fract_z
In1 In 0.000 0.000 0.000
Co1 Co 0.500 0.500 0.756
Cl1 Cl 0.000 0.000 0.621
Cl2 Cl 0.500 0.500 0.210
```

Formation energy from raw total energies = -0.141 eV/atom
Total DFT energy (no corrections) = -3.526 eV per atom


(4)
InCoCl2 | PBE | relaxed

Structure (CIF):
```
data_InCoCl2
_chemical_formula_sum 'In2 Co2 Cl4'
_space_group_name_H-M_alt 'I -4 m 2'
_space_group_IT_number 119
_space_group_name_Hall 'I -4 -2'
_cell_length_a 3.997
_cell_length_b 3.997
_cell_length_c 11.850
_cell_angle_alpha 90.00
_cell_angle_beta 90.00
_cell_angle_gamma 90.00
loop_
_atom_site_label
_atom_site_type_symbol
_atom_site_fract_x
_atom_site_fract_y
_atom_site_fract_z
In1 In 0.000 0.000 0.000
Co1 Co 0.000 0.500 0.250
Cl1 Cl 0.000 0.000 0.500
Cl2 Cl 0.000 0.500 0.750
```

Formation energy from raw total energies = 0.124 eV/atom
Total DFT energy (no corrections) = -3.260 eV per atom


The lowest formation energy from raw total energies belongs to which entry? number 3